[1]
Sc3CoCu PBE optimized geometry; magnetization = 0.0 μB per cell; formation energy from the elements = 0.38 eV per formula unit
1.0
4.774 0.000 0.000
0.000 4.774 0.000
0.000 0.000 4.774
Sc Co Cu
3 1 1
direct
0.000 0.000 0.500
0.000 0.500 0.000
0.500 0.000 0.000
0.000 0.000 0.000
0.500 0.500 0.500

***

[2]
Sc6Co5Cu PBE optimized geometry; magnetization = 1.3 μB per cell; formation energy from the elements = -4.08 eV per formula unit
1.0
7.023 -3.154 0.000
7.023 3.154 0.000
-1.395 0.000 4.224
Sc Co Cu
6 5 1
direct
0.077 0.584 0.330
0.243 0.757 0.000
0.416 0.923 0.670
0.584 0.077 0.330
0.757 0.243 0.000
0.923 0.416 0.670
0.000 0.000 0.500
0.166 0.166 0.165
0.334 0.334 0.834
0.666 0.666 0.166
0.834 0.834 0.835
0.500 0.500 0.500